The following is a DFT calculation (GGA-PBEsol) of a relaxed structure of NaHfBi2As.

Unit cell a=5.140 b=5.140 c=5.309 alpha=90.00 beta=90.00 gamma=90.00
Fractional positions:
Na (0.000, 0.000, 0.000)
Hf (0.000, 0.000, 0.500)
Bi (0.000, 0.500, 0.000)
Bi (0.500, 0.000, 0.000)
As (0.500, 0.500, 0.500)

Computed properties:
VASP energy = -19.580 eV/f.u.
Energy of formation from the pure elements = 1200 meV/atom
Space group = P4/mmm
Magnetization = 0.00 μB/f.u.